An optimized crystal structure of La2AgHg, computed with PBE.

a = 6.4257 Å, b = 6.4257 Å, c = 5.1158 Å
α = 66.70°, β = 66.70°, γ = 35.88°
Sites, in units of the cell vectors:
Hg 0.2204 0.2204 0.2787
Ag 0.5204 0.5204 0.4806
La 0.9876 0.9876 0.0128
La 0.7716 0.7716 0.7280

Computed properties:
Formation energy = -0.30 eV/atom
Magnetization = 0.002 μB/f.u.

---

An optimized crystal structure of LiI2F, computed with PBE.

a = 4.4040 Å, b = 4.4040 Å, c = 11.9546 Å
α = 79.39°, β = 79.39°, γ = 90.00°
Sites, in units of the cell vectors:
I 0.6253 0.1250 0.2500
I 0.1247 0.6250 0.2500
I 0.3750 0.3747 0.7500
I 0.8750 0.8753 0.7500
Li 0.5000 0.5000 0.0000
Li 0.2500 0.7500 0.5000
F 0.0000 0.0000 0.0000
F 0.7500 0.2500 0.5000

Computed properties:
Energy relative to the elements, uncorrected = -659 meV per atom
Polymorph energy (0 for the lowest one) = 0.0000 eV/atom
Magnetization = 0.000 μB/f.u.

---

Fermi-level density of states: 0.840, 0.368 (states/eV/atom)
Final energy: -3.5546, -2.3808 (eV per atom)